Below is a relaxed structure of Ti3TlSb, with properties calculated at the PBE-GGA level.

- Volume: 25.6 Å³/atom
- Energy above the lowest structure with this stoichiometry: 0.000 eV per atom
- Energy: -0.393 Ry/atom
- E_form (uncorrected): 0.68 eV per atom

a b c (Å): 5.041 5.041 5.041
angles (deg): 90.00 90.00 90.00
Sites, in units of the cell vectors:
Ti (0.000, 0.000, 0.500)
Ti (0.000, 0.500, 0.000)
Ti (0.500, 0.000, 0.000)
Tl (0.500, 0.500, 0.500)
Sb (0.000, 0.000, 0.000)